Compound: Li4Mn3CoO8
Source: the Alexandria database
Functional: PBE with a Hubbard U
Structure: optimized geometry

abc: 6.516 6.516 9.947
angles: 127.04 127.04 26.88
Fractional coordinates of all 16 atoms:
Li (0.122, 0.122, 0.365)
Li (0.377, 0.377, 0.124)
Li (0.623, 0.623, 0.876)
Li (0.878, 0.878, 0.635)
Mn (0.251, 0.251, 0.756)
Mn (0.500, 0.500, 0.500)
Mn (0.749, 0.749, 0.244)
Co (0.000, 0.000, 0.000)
O (0.067, 0.067, 0.682)
O (0.196, 0.196, 0.079)
O (0.319, 0.319, 0.428)
O (0.425, 0.425, 0.810)
O (0.575, 0.575, 0.190)
O (0.681, 0.681, 0.572)
O (0.804, 0.804, 0.921)
O (0.933, 0.933, 0.318)

The space group is C2/m, No. 12. For the offset from the most stable computed form, the calculation gives 0.0194 eV/atom. The electronic total energy is -6.35 eV/atom.